1.
{"formula": "CeGa2Pt5Au", "functional": "PBE-GGA", "state": "relaxed", "lattice": [[-0.913, -3.841, 0.983], [2.731, 0.122, 3.013], [-6.895, 3.204, 6.120]], "species": ["Ce", "Ga", "Ga", "Pt", "Pt", "Pt", "Pt", "Pt", "Au"], "frac_coords": [[0.000, 0.000, 0.500], [0.500, 0.500, 0.123], [0.500, 0.500, 0.877], [0.000, 0.500, 0.280], [0.500, 0.000, 0.280], [0.000, 0.500, 0.720], [0.500, 0.000, 0.720], [0.500, 0.500, 0.500], [0.000, 0.000, 0.000]], "delta_e_f_kj_per_mol_atoms": -57, "magnetic_moment_mub_per_atom": 0.0241}



2.
{"formula": "ScAl2Hg", "functional": "PBE-GGA", "state": "relaxed", "lattice": [[4.118, 0.000, 0.000], [0.000, 4.118, 0.000], [2.059, 2.059, 10.150]], "species": ["Sc", "Sc", "Hg", "Hg", "Al", "Al", "Al", "Al"], "frac_coords": [[0.500, 0.500, 0.000], [0.250, 0.750, 0.500], [0.000, 0.000, 0.000], [0.750, 0.250, 0.500], [0.614, 0.125, 0.250], [0.136, 0.625, 0.250], [0.375, 0.386, 0.750], [0.875, 0.864, 0.750]], "delta_e_f_kj_per_mol_atoms": 3, "magnetic_moment_mub_per_atom": 0.0000}



3.
{"formula": "BaPu3O9", "functional": "PBE-GGA", "state": "relaxed", "lattice": [[-2.663, 1.392, 2.858], [0.666, -6.825, 3.944], [4.886, 6.004, 1.630]], "species": ["Ba", "Pu", "Pu", "Pu", "O", "O", "O", "O", "O", "O", "O", "O", "O"], "frac_coords": [[0.000, 0.000, 0.000], [0.500, 0.000, 0.500], [0.500, 0.500, 0.000], [0.500, 0.500, 0.500], [0.000, 0.000, 0.500], [0.500, 0.197, 0.394], [0.500, 0.197, 0.803], [0.500, 0.606, 0.803], [0.000, 0.500, 0.000], [0.500, 0.394, 0.197], [0.000, 0.500, 0.500], [0.500, 0.803, 0.197], [0.500, 0.803, 0.606]], "e_form_raw_kj_per_mol_fu": -3357, "magnetic_moment_mub_per_atom": 0.6154}



4.
{"formula": "VCrSiAu", "functional": "PBE-GGA", "state": "relaxed", "lattice": [[6.086, 0.000, 0.005], [0.000, 2.902, 0.000], [-4.556, 0.000, 6.650]], "species": ["Cr", "Cr", "Si", "Si", "Au", "Au", "V", "V"], "frac_coords": [[0.499, 0.000, 0.981], [0.499, 0.500, 0.481], [0.720, 0.000, 0.355], [0.720, 0.500, 0.855], [0.026, 0.000, 0.209], [0.026, 0.500, 0.709], [0.310, 0.000, 0.607], [0.310, 0.500, 0.107]], "e_form_raw_kj_per_mol_fu": 35, "de_polymorph_ev_per_atom": 0.152, "magnetic_moment_mub_per_atom": 0.0005}



5.
{"formula": "Ag2Hg2Sb", "functional": "PBE-GGA", "state": "relaxed", "lattice": [[-2.539, -2.610, 1.641], [2.017, -3.014, -1.674], [4.042, -3.246, 5.950]], "species": ["Sb", "Hg", "Hg", "Ag", "Ag"], "frac_coords": [[0.000, 0.000, 0.000], [0.396, 0.396, 0.208], [0.604, 0.604, 0.792], [0.750, 0.250, 0.500], [0.250, 0.750, 0.500]], "e_form_raw_kj_per_mol_fu": 92, "de_polymorph_ev_per_atom": 0.039, "magnetic_moment_mub_per_atom": 0.0000}



6.
{"formula": "Ca2Ni2Ru", "functional": "PBE-GGA", "state": "relaxed", "lattice": [[-3.347, -1.562, 5.224], [4.501, -4.252, 1.613], [2.177, 3.196, 2.350]], "species": ["Ru", "Ru", "Ca", "Ca", "Ca", "Ca", "Ni", "Ni", "Ni", "Ni"], "frac_coords": [[0.000, 0.000, 0.000], [0.500, 0.500, 0.000], [0.183, 0.683, 0.500], [0.683, 0.817, 0.500], [0.817, 0.317, 0.500], [0.317, 0.183, 0.500], [0.371, 0.871, 0.000], [0.871, 0.629, 0.000], [0.629, 0.129, 0.000], [0.129, 0.371, 0.000]], "delta_e_f_kj_per_mol_atoms": 7, "magnetic_moment_mub_per_atom": 0.0226}



7.
{"formula": "CsK4U3O12", "functional": "PBE-GGA", "state": "relaxed", "lattice": [[-6.535, 3.846, -1.932], [-1.863, -6.467, 3.992], [4.516, 4.596, 4.440]], "species": ["Cs", "K", "K", "K", "K", "U", "U", "U", "O", "O", "O", "O", "O", "O", "O", "O", "O", "O", "O", "O"], "frac_coords": [[0.000, 0.000, 0.000], [0.500, 0.500, 0.500], [0.000, 0.000, 0.500], [0.500, 0.000, 0.000], [0.000, 0.500, 0.000], [0.500, 0.000, 0.500], [0.500, 0.500, 0.000], [0.000, 0.500, 0.500], [0.250, 0.500, 0.750], [0.707, 0.000, 0.707], [0.293, 0.000, 0.293], [0.750, 0.500, 0.250], [0.707, 0.707, 0.000], [0.293, 0.293, 0.000], [0.750, 0.250, 0.500], [0.250, 0.750, 0.500], [0.500, 0.250, 0.750], [0.000, 0.707, 0.707], [0.500, 0.750, 0.250], [0.000, 0.293, 0.293]], "e_form_raw_kj_per_mol_fu": -4911, "magnetic_moment_mub_per_atom": 0.0000}



8.
{"formula": "HoOsC", "functional": "PBE-GGA", "state": "relaxed", "lattice": [[3.209, 0.000, 0.000], [0.000, 5.756, 0.337], [-1.605, -2.064, 5.099]], "species": ["Ho", "Ho", "C", "C", "Os", "Os"], "frac_coords": [[0.394, 0.673, 0.788], [0.606, 0.327, 0.212], [0.253, 0.240, 0.506], [0.747, 0.760, 0.494], [0.841, 0.142, 0.682], [0.159, 0.858, 0.318]], "de_polymorph_ev_per_atom": 0.000, "delta_e_f_kj_per_mol_atoms": -8, "magnetic_moment_mub_per_atom": 0.0000}



9.
{"formula": "CeNdBeN3", "functional": "PBE-GGA", "state": "relaxed", "lattice": [[-1.721, -2.053, 2.100], [5.820, -4.385, 0.482], [1.443, 4.212, 5.301]], "species": ["Ce", "Ce", "Nd", "Nd", "Be", "Be", "N", "N", "N", "N", "N", "N"], "frac_coords": [[0.250, 0.651, 0.191], [0.750, 0.349, 0.809], [0.750, 0.835, 0.790], [0.250, 0.165, 0.210], [0.250, 0.074, 0.597], [0.750, 0.926, 0.403], [0.250, 0.848, 0.495], [0.750, 0.878, 0.154], [0.750, 0.413, 0.149], [0.750, 0.152, 0.505], [0.250, 0.587, 0.851], [0.250, 0.122, 0.846]], "e_form_raw_kj_per_mol_fu": -722, "magnetic_moment_mub_per_atom": 0.0000}



10.
{"formula": "SmNbN2", "functional": "PBE-GGA", "state": "relaxed", "lattice": [[3.224, 0.000, 0.000], [1.612, 2.792, 0.000], [1.612, 0.931, 5.843]], "species": ["Sm", "Nb", "N", "N"], "frac_coords": [[0.672, 0.672, 0.985], [0.497, 0.497, 0.510], [0.092, 0.092, 0.724], [0.240, 0.240, 0.281]], "e_form_raw_kj_per_mol_fu": -443, "magnetic_moment_mub_per_atom": 0.0000}



11.
{"formula": "AlCrTcPd", "functional": "PBE-GGA", "state": "relaxed", "lattice": [[4.298, 0.000, 0.000], [2.149, 3.722, 0.000], [2.149, 1.241, 3.510]], "species": ["Cr", "Tc", "Pd", "Al"], "frac_coords": [[0.750, 0.750, 0.750], [0.500, 0.500, 0.500], [0.000, 0.000, 0.000], [0.250, 0.250, 0.250]], "delta_e_f_kj_per_mol_atoms": -30, "magnetic_moment_mub_per_atom": 0.5006}



12.
{"formula": "Zn3BiRh", "functional": "PBE-GGA", "state": "relaxed", "lattice": [[-1.176, -4.633, -0.234], [4.614, -1.193, 0.435], [-0.479, -0.118, 4.760]], "species": ["Zn", "Zn", "Zn", "Rh", "Bi"], "frac_coords": [[0.000, 0.500, 0.000], [0.000, 0.000, 0.500], [0.500, 0.000, 0.000], [0.000, 0.000, 0.000], [0.500, 0.500, 0.500]], "de_polymorph_ev_per_atom": 0.000, "delta_e_f_kj_per_mol_atoms": 20, "magnetic_moment_mub_per_atom": 0.0000}



13.
{"formula": "Cu2NiW", "functional": "PBE-GGA", "state": "relaxed", "lattice": [[4.496, -0.004, 0.015], [3.747, 2.485, 0.015], [0.689, 0.207, 4.602]], "species": ["Cu", "Cu", "Ni", "W"], "frac_coords": [[0.997, 0.997, 0.017], [0.247, 0.247, 0.236], [0.503, 0.503, 0.519], [0.753, 0.753, 0.729]], "de_polymorph_ev_per_atom": 0.093, "delta_e_f_kj_per_mol_atoms": 19, "magnetic_moment_mub_per_atom": 0.0000}



14.
{"formula": "Ac2PrAu", "functional": "PBE-GGA", "state": "relaxed", "lattice": [[3.922, 0.000, 0.000], [0.000, 3.922, 0.000], [0.000, 0.000, 9.263]], "species": ["Pr", "Ac", "Ac", "Au"], "frac_coords": [[0.500, 0.500, 0.500], [0.000, 0.000, 0.793], [0.000, 0.000, 0.207], [0.500, 0.500, 0.000]], "de_polymorph_ev_per_atom": 0.019, "delta_e_f_kj_per_mol_atoms": -35, "magnetic_moment_mub_per_atom": 0.0000}



15.
{"formula": "Ce3PrHo2As6", "functional": "PBE-GGA", "state": "relaxed", "lattice": [[7.268, -0.001, 0.000], [-3.633, 6.295, 0.000], [-1.213, -2.100, 6.840]], "species": ["Ce", "Ce", "Ce", "Pr", "Ho", "Ho", "As", "As", "As", "As", "As", "As"], "frac_coords": [[0.165, 0.835, 0.500], [0.835, 0.165, 0.500], [0.500, 0.500, 0.500], [0.000, 0.000, 0.000], [0.333, 0.667, 0.000], [0.667, 0.333, 0.000], [0.917, 0.576, 0.750], [0.742, 0.742, 0.248], [0.083, 0.424, 0.250], [0.576, 0.917, 0.750], [0.258, 0.258, 0.752], [0.424, 0.083, 0.250]], "delta_e_f_kj_per_mol_atoms": -142, "magnetic_moment_mub_per_atom": 0.1593}



16.
{"formula": "SrHfMgN2", "functional": "PBE-GGA", "state": "relaxed", "lattice": [[-3.757, -1.918, -1.549], [1.988, -0.136, -4.651], [1.721, -4.062, 0.855]], "species": ["Sr", "Mg", "Hf", "N", "N"], "frac_coords": [[0.000, 0.000, 0.000], [0.000, 0.500, 0.000], [0.500, 0.500, 0.500], [0.000, 0.000, 0.500], [0.500, 0.000, 0.000]], "e_form_raw_kj_per_mol_fu": 877, "magnetic_moment_mub_per_atom": 0.0000}



17.
{"formula": "Au3BrF", "functional": "PBE-GGA", "state": "relaxed", "lattice": [[-3.987, -0.862, 3.106], [-3.038, -0.646, -4.079], [1.077, -5.012, -0.008]], "species": ["Au", "Au", "Au", "Br", "F"], "frac_coords": [[0.000, 0.500, 0.000], [0.000, 0.000, 0.500], [0.500, 0.000, 0.000], [0.000, 0.000, 0.000], [0.500, 0.500, 0.500]], "e_form_raw_kj_per_mol_fu": 289, "de_polymorph_ev_per_atom": 0.250, "magnetic_moment_mub_per_atom": 0.0000}



18.
{"formula": "KCd3Pt", "functional": "PBE-GGA", "state": "relaxed", "lattice": [[-5.999, -3.404, -6.738], [4.223, -6.749, -0.351], [-3.871, -2.671, 4.796]], "species": ["K", "K", "K", "K", "Pt", "Pt", "Pt", "Pt", "Cd", "Cd", "Cd", "Cd", "Cd", "Cd", "Cd", "Cd", "Cd", "Cd", "Cd", "Cd"], "frac_coords": [[0.000, 0.000, 0.500], [0.500, 0.500, 0.000], [0.500, 0.000, 0.000], [0.000, 0.500, 0.500], [0.710, 0.250, 0.297], [0.790, 0.750, 0.797], [0.290, 0.750, 0.703], [0.210, 0.250, 0.203], [0.141, 0.937, 0.986], [0.359, 0.437, 0.486], [0.359, 0.063, 0.486], [0.859, 0.437, 0.014], [0.859, 0.063, 0.014], [0.641, 0.563, 0.514], [0.641, 0.937, 0.514], [0.141, 0.563, 0.986], [0.222, 0.250, 0.802], [0.278, 0.750, 0.302], [0.778, 0.750, 0.198], [0.722, 0.250, 0.698]], "de_polymorph_ev_per_atom": 0.179, "delta_e_f_kj_per_mol_atoms": -7, "magnetic_moment_mub_per_atom": 0.0000}



19.
{"formula": "CaTb12Tm5", "functional": "PBE-GGA", "state": "relaxed", "lattice": [[-11.848, 1.913, 9.097], [-1.563, -0.557, 10.526], [1.113, 4.881, 0.424]], "species": ["Ca", "Tb", "Tb", "Tb", "Tb", "Tb", "Tb", "Tb", "Tb", "Tb", "Tb", "Tb", "Tb", "Tm", "Tm", "Tm", "Tm", "Tm"], "frac_coords": [[0.000, 0.000, 0.000], [0.828, 0.000, 0.500], [0.172, 0.000, 0.500], [0.666, 0.000, 0.000], [0.334, 0.000, 0.000], [0.338, 0.661, 0.000], [0.001, 0.661, 0.000], [0.999, 0.339, 0.000], [0.662, 0.339, 0.000], [0.499, 0.333, 0.500], [0.833, 0.666, 0.500], [0.167, 0.334, 0.500], [0.501, 0.667, 0.500], [0.500, 0.000, 0.500], [0.173, 0.654, 0.500], [0.827, 0.346, 0.500], [0.666, 0.668, 0.000], [0.334, 0.332, 0.000]], "delta_e_f_kj_per_mol_atoms": 4, "magnetic_moment_mub_per_atom": 0.0000}



20.
{"formula": "Hf2TiBi2", "functional": "PBE-GGA", "state": "relaxed", "lattice": [[7.744, 0.000, 0.000], [0.000, 7.744, 0.000], [0.000, 0.000, 3.892]], "species": ["Hf", "Hf", "Hf", "Hf", "Bi", "Bi", "Bi", "Bi", "Ti", "Ti"], "frac_coords": [[0.147, 0.647, 0.500], [0.647, 0.853, 0.500], [0.853, 0.353, 0.500], [0.353, 0.147, 0.500], [0.347, 0.847, 0.000], [0.847, 0.653, 0.000], [0.653, 0.153, 0.000], [0.153, 0.347, 0.000], [0.000, 0.000, 0.000], [0.500, 0.500, 0.000]], "de_polymorph_ev_per_atom": 0.147, "delta_e_f_kj_per_mol_atoms": 4, "magnetic_moment_mub_per_atom": 0.0000}